(1)
{"formula": "H4SeCl3", "functional": "PBE", "state": "optimized geometry", "lattice_angstrom": [[-2.4099, 5.7797, 3.3212], [2.4099, -5.7797, 3.3212], [2.4099, 5.7797, -3.3212]], "species": ["H", "H", "H", "H", "Se", "Cl", "Cl", "Cl"], "frac_coords": [[0.2036, 0.0000, 0.2036], [0.2118, 0.4513, 0.2395], [0.2118, 0.9723, 0.7605], [0.7964, 0.0000, 0.7964], [0.3829, 0.3829, 0.0000], [0.0183, 0.5183, 0.5000], [0.4255, 0.1533, 0.2722], [0.8810, 0.1533, 0.7278]], "sg": "Imm2, No. 44", "magmom_total_mub_per_fu": 1.1, "final_energy_ev_per_cell": -24.05}

=====

(2)
{"formula": "CaPr12Tl3", "functional": "PBE", "state": "optimized geometry", "lattice_angstrom": [[5.0537, 0.0000, 0.0000], [0.0000, 5.0537, 0.0000], [0.0000, 0.0000, 20.6883]], "species": ["Ca", "Pr", "Pr", "Pr", "Pr", "Pr", "Pr", "Pr", "Pr", "Pr", "Pr", "Pr", "Pr", "Tl", "Tl", "Tl"], "frac_coords": [[0.0000, 0.0000, 0.0000], [0.0000, 0.5000, 0.1351], [0.0000, 0.5000, 0.3783], [0.0000, 0.5000, 0.6217], [0.0000, 0.5000, 0.8649], [0.5000, 0.0000, 0.1351], [0.5000, 0.0000, 0.3783], [0.5000, 0.0000, 0.6217], [0.5000, 0.0000, 0.8649], [0.5000, 0.5000, 0.0000], [0.5000, 0.5000, 0.2559], [0.5000, 0.5000, 0.5000], [0.5000, 0.5000, 0.7441], [0.0000, 0.0000, 0.2579], [0.0000, 0.0000, 0.5000], [0.0000, 0.0000, 0.7421]], "formation_enthalpy_0k_ev_per_atom": -0.1333, "sg": "P4/mmm, No. 123", "magmom_total_mub_per_fu": 0.0, "final_energy_ev_per_cell": -68.59}